DFT (PBE) results for crystalline CrNi3H2 at its relaxed geometry.

Results
- ρ: 7.93 g cm⁻³
- VASP energy: -5.628 eV per atom

Cell lengths 2.548, 5.812, 6.793 Å; angles 85.03, 79.19, 77.34 degrees
Fractional coordinates of all 12 atoms:
Cr  0.441  0.447  0.672
Cr  0.559  0.553  0.328
Ni  0.061  0.061  0.817
Ni  0.939  0.939  0.183
Ni  0.691  0.689  0.929
Ni  0.309  0.311  0.071
Ni  0.816  0.805  0.564
Ni  0.184  0.195  0.436
H  0.877  0.366  0.880
H  0.123  0.634  0.120
H  0.628  0.108  0.637
H  0.372  0.892  0.363


DFT (PBE) results for crystalline Ta6Fe5Ir at its relaxed geometry.

Results
- ρ: 14.50 g cm⁻³
- E_form: -200 meV per atom

Cell lengths 4.371, 6.222, 6.912 Å; angles 90.00, 108.45, 90.00 degrees
Fractional coordinates of all 12 atoms:
Ir  0.000  0.000  0.000
Fe  0.665  0.500  0.331
Fe  0.336  0.000  0.672
Fe  0.000  0.500  0.000
Fe  0.664  0.000  0.328
Fe  0.335  0.500  0.669
Ta  0.829  0.747  0.658
Ta  0.829  0.253  0.658
Ta  0.500  0.259  0.000
Ta  0.500  0.741  0.000
Ta  0.171  0.747  0.342
Ta  0.171  0.253  0.342


DFT (PBE) results for crystalline Sr4LiZr at its relaxed geometry.

Results
- ρ: 2.73 g cm⁻³
- E_form: 747 meV per atom

Cell lengths 7.276, 7.276, 7.276 Å; angles 60.00, 60.00, 60.00 degrees
Fractional coordinates of all 6 atoms:
Sr  0.872  0.376  0.376
Sr  0.376  0.376  0.872
Sr  0.376  0.872  0.376
Sr  0.376  0.376  0.376
Li  0.000  0.000  0.000
Zr  0.750  0.750  0.750


DFT (PBE) results for crystalline AsBr7 at its relaxed geometry.

Results
- ρ: 5.20 g cm⁻³
- E_form (uncorrected): 0.6702 eV/atom

Cell lengths 6.590, 6.590, 6.590 Å; angles 60.00, 60.00, 60.00 degrees
Fractional coordinates of all 8 atoms:
As  0.000  0.000  0.000
Br  0.500  0.500  0.000
Br  0.500  0.000  0.500
Br  0.500  0.000  0.000
Br  0.000  0.000  0.500
Br  0.000  0.500  0.000
Br  0.000  0.500  0.500
Br  0.500  0.500  0.500


DFT (PBE) results for crystalline TaFeI2N at its relaxed geometry.

Results
- ρ: 8.51 g cm⁻³
- E_form (uncorrected): 0.9054 eV/atom

Cell lengths 5.349, 5.349, 3.441 Å; angles 90.00, 90.00, 90.00 degrees
Fractional coordinates of all 5 atoms:
I  0.000  0.500  0.000
I  0.500  0.000  0.000
N  0.000  0.000  0.500
Fe  0.000  0.000  0.000
Ta  0.500  0.500  0.500


DFT (PBE) results for crystalline POsRh2 at its relaxed geometry.

Results
- ρ: 12.79 g cm⁻³
- E_form: 209 meV per atom

Cell lengths 4.280, 4.280, 4.280 Å; angles 60.00, 60.00, 60.00 degrees
Fractional coordinates of all 4 atoms:
P  0.250  0.250  0.250
Os  0.500  0.500  0.500
Rh  0.000  0.000  0.000
Rh  0.750  0.750  0.750


DFT (PBE) results for crystalline UGa6 at its relaxed geometry.

Results
- ρ: 6.59 g cm⁻³
- E_form: 387 meV per atom

Cell lengths 5.990, 5.990, 5.990 Å; angles 109.47, 109.47, 109.47 degrees
Fractional coordinates of all 7 atoms:
U  0.000  0.000  0.000
Ga  0.250  0.750  0.500
Ga  0.500  0.750  0.250
Ga  0.250  0.500  0.750
Ga  0.750  0.250  0.500
Ga  0.500  0.250  0.750
Ga  0.750  0.500  0.250


DFT (PBE) results for crystalline Re2AgHg at its relaxed geometry.

Results
- ρ: 16.32 g cm⁻³
- E_form: 798 meV per atom

Cell lengths 5.076, 2.861, 4.773 Å; angles 91.75, 90.00, 90.00 degrees
Fractional coordinates of all 4 atoms:
Re  0.000  0.934  0.012
Re  0.000  0.566  0.488
Hg  0.500  0.750  0.750
Ag  0.500  0.250  0.250


DFT (PBE) results for crystalline PrPaHgPd at its relaxed geometry.

Results
- ρ: 11.26 g cm⁻³
- E_form: -173 meV per atom

Cell lengths 5.213, 5.213, 5.213 Å; angles 60.00, 60.00, 60.00 degrees
Fractional coordinates of all 4 atoms:
Pr  0.250  0.250  0.250
Pa  0.750  0.750  0.750
Hg  0.000  0.000  0.000
Pd  0.500  0.500  0.500


DFT (PBE) results for crystalline Cd2PbW at its relaxed geometry.

Results
- ρ: 11.92 g cm⁻³
- E_form: 761 meV per atom

Cell lengths 3.005, 5.101, 5.595 Å; angles 90.00, 90.00, 90.00 degrees
Fractional coordinates of all 4 atoms:
Pb  0.500  0.000  0.500
W  0.000  0.500  0.500
Cd  0.000  0.000  0.000
Cd  0.500  0.500  0.000


DFT (PBE) results for crystalline TaCr2Si at its relaxed geometry.

Results
- ρ: 8.99 g cm⁻³
- E_form (uncorrected): 0.2711 eV/atom

Cell lengths 8.475, 8.475, 8.475 Å; angles 19.25, 19.25, 19.25 degrees
Fractional coordinates of all 4 atoms:
Cr  0.994  0.994  0.994
Cr  0.506  0.506  0.506
Si  0.250  0.250  0.250
Ta  0.750  0.750  0.750


DFT (PBE) results for crystalline Y2AlCoPd at its relaxed geometry.

Results
- ρ: 4.65 g cm⁻³
- E_form: 174 meV per atom

Cell lengths 5.350, 4.615, 5.350 Å; angles 90.00, 90.00, 90.00 degrees
Fractional coordinates of all 5 atoms:
Y  0.000  0.000  0.500
Y  0.500  0.000  0.000
Co  0.500  0.500  0.500
Al  0.000  0.500  0.000
Pd  0.000  0.000  0.000